6
Lattice="-3.931 -3.720 -2.562 0.803 -1.767 -5.665 1.563 -5.659 -1.178" Properties=species:S:1:pos:R:3 comment="Li4PrNd | the Alexandria database | PBE-GGA | relaxed" total_energy_ev_per_atom=-2.769 e_form_ev_per_atom=0.10 pbc="T T T"
Pr 0.000 0.000 0.000
Nd -0.391 -2.787 -2.351
Li -1.758 -4.138 -5.289
Li -1.379 -6.083 -3.047
Li -0.978 -6.965 -5.877
Li 0.986 -5.107 -4.597